DFT (GGA-PBE) results for a relaxed structure of Tb3Hg4Pd2.

For the energy relative to the elements, the calculation gives -0.518 eV/atom.

The space group is C2/c (No. 15) and the conventional cell measures 14.2712, 11.1475 and 5.3022 Å, with angles of 90.00, 100.31 and 90.00 degrees. The inequivalent atoms are Tb at (0.0000, 0.1088, 0.2500), Tb at (0.1673, 0.3644, 0.0838), Hg at (0.0575, 0.3645, 0.5310), Hg at (0.2157, 0.1111, 0.3607) and Pd at (0.1108, 0.1288, 0.8133).

DFT (GGA-PBE) results for a relaxed structure of YCr2Br.

The polymorph energy (0 for the lowest one) comes out at 173 kJ/mol of formula units. The raw formation energy is 0.4672 eV/atom.

The space group is R-3m (No. 166, hexagonal axes) and the conventional cell measures 3.4349, 3.4349 and 27.1668 Å, with angles of 90.00, 90.00 and 120.00 degrees. The inequivalent atoms are Y at (0.0000, 0.0000, 0.0000), Cr at (0.0000, 0.0000, 0.2434) and Br at (0.0000, 0.0000, 0.5000).

DFT (GGA-PBE) results for a relaxed structure of ZnReP2O.

The polymorph energy (0 for the lowest one) comes out at 0 kJ/mol of formula units. The raw formation energy is -0.0475 eV/atom.

The space group is P4/mmm (No. 123) and the conventional cell measures 4.7706, 4.7706 and 3.7300 Å, with angles of 90.00, 90.00 and 90.00 degrees. The inequivalent atoms are Zn at (0.0000, 0.0000, 0.0000), Re at (0.5000, 0.5000, 0.5000), P at (0.0000, 0.5000, 0.5000) and O at (0.5000, 0.5000, 0.0000).

| no. | calculated volume (Å³ per atom) |
| --- | --- |
| 1 | 23.1 |
| 2 | 23.1 |
| 3 | 17.0 |